Entry 1:
# Rb2Ga2Ag

Crystalline Rb2Ga2Ag at its relaxed geometry (PBE, Alexandria).

The space group is P4/mbm (No. 127) and the conventional cell measures 7.2307, 7.2307 and 5.9966 Å, with angles of 90.00, 90.00 and 90.00 degrees. Symmetry generates all atoms from Rb at (0.1891, 0.3109, 0.0000), Ga at (0.1259, 0.6259, 0.5000) and Ag at (0.0000, 0.0000, 0.5000).

The formation energy comes out at 9.5 kJ per mole of atoms.

---

Entry 2:
# Pr4Th3Te8

Crystalline Pr4Th3Te8 at its relaxed geometry (PBE, Alexandria).

The space group is C2/m (No. 12) and the conventional cell measures 12.6513, 12.6637 and 8.9335 Å, with angles of 90.00, 134.80 and 90.00 degrees. Symmetry generates all atoms from Pr at (0.0000, 0.0000, 0.0000), Pr at (0.0000, 0.5000, 0.5000), Pr at (0.2500, 0.2500, 0.0000), Th at (0.0000, 0.5000, 0.0000), Th at (0.2500, 0.2500, 0.5000), Te at (0.0000, 0.2410, 0.5000), Te at (0.0000, 0.2504, 0.0000), Te at (0.2408, 0.0000, 0.5016) and Te at (0.2435, 0.0000, 0.9838).

The formation energy from raw total energies comes out at -1.300 eV per atom.

---

Entry 3:
# DyNp2Co9

Crystalline DyNp2Co9 at its relaxed geometry (PBE, Alexandria).

The space group is R-3m (No. 166, hexagonal axes) and the conventional cell measures 4.8655, 4.8655 and 24.4766 Å, with angles of 90.00, 90.00 and 120.00 degrees. Symmetry generates all atoms from Dy at (0.0000, 0.0000, 0.0000), Np at (0.0000, 0.0000, 0.1406), Co at (0.0000, 0.0000, 0.3329), Co at (0.0000, 0.0000, 0.5000) and Co at (0.0008, 0.5004, 0.0819).

The formation energy comes out at -10.8 kJ per mole of atoms.

---

Entry 4:
# Ac3AgIrRh

Crystalline Ac3AgIrRh at its relaxed geometry (PBE, Alexandria).

The space group is P2_1/m (No. 11) and the conventional cell measures 8.6322, 4.4000 and 10.4131 Å, with angles of 90.00, 112.37 and 90.00 degrees. Symmetry generates all atoms from Ac at (0.0313, 0.2500, 0.3562), Ac at (0.2339, 0.2500, 0.9804), Ac at (0.4230, 0.7500, 0.6373), Ag at (0.2462, 0.7500, 0.2461), Ir at (0.2180, 0.2500, 0.6777) and Rh at (0.3977, 0.7500, 0.9013).

The formation energy comes out at -41.9 kJ per mole of atoms.

---

no.,mass density (g/cm³),magnetization (μB per formula unit)
1,4.430,0.00
2,7.458,0.00
3,11.584,2.59
4,9.843,0.00